(1)
Material: GePCO2
Method: DFT, PBE-GGA
State: relaxed

Cell lengths 3.599, 3.599, 3.956 Å; angles 90.00, 90.00, 90.00 degrees
Space group P4/mmm (No. 123)
Symmetry-distinct sites (fractional):
Ge (0.000, 0.000, 0.000) (multiplicity 1)
P (0.500, 0.500, 0.000) (multiplicity 1)
C (0.500, 0.500, 0.500) (multiplicity 1)
O (0.000, 0.500, 0.500) (multiplicity 2)

Calculated values
Raw total energy ... -0.184 Ha/atom
Formation energy (no corrections) ... 0.825 eV/atom
Energy above the most stable polymorph in this dataset ... 67 meV per atom

(2)
Material: Ac6SnPb6
Method: DFT, PBE-GGA
State: relaxed

Cell lengths 7.0078, 7.0078, 11.4449 Å; angles 90.00, 90.00, 120.00 degrees
Space group P6/mmm (No. 191)
Symmetry-distinct sites (fractional):
Ac (0.0000, 0.0000, 0.2154) (multiplicity 2)
Ac (0.3333, 0.6667, 0.0000) (multiplicity 2)
Ac (0.3333, 0.6667, 0.5000) (multiplicity 2)
Sn (0.0000, 0.0000, 0.5000) (multiplicity 1)
Pb (0.0000, 0.5000, 0.2474) (multiplicity 6)

Calculated values
Raw total energy ... -0.160 Ha/atom
ΔE_f ... -0.4421 eV/atom

> The highest raw total energy belongs to which entry?

Ac6SnPb6